Record 1
Material: La2Sn3Bi3
Method: DFT, PBE
State: optimized geometry Values from VASP.

Properties
Space-group type: No. 47
Formation energy: -0.547 eV/atom

Cell and atoms, written as Quantum ESPRESSO input:
```
&SYSTEM
  ibrav = 0, nat = 8, ntyp = 3
/
ATOMIC_SPECIES
Sn 118.71 Sn.upf
Bi 208.98 Bi.upf
La 138.91 La.upf
CELL_PARAMETERS angstrom
5.011 0.000 0.000
0.000 4.885 0.000
0.000 0.000 9.723
ATOMIC_POSITIONS angstrom
Sn 2.505 0.000 0.000
Sn 2.505 2.443 2.351
Sn 2.505 2.443 7.371
Bi 2.505 0.000 4.861
Bi 0.000 2.443 4.861
Bi 0.000 2.443 0.000
La 0.000 0.000 7.313
La 0.000 0.000 2.410
```



Record 2
Material: Pm2HgGe3Pd4
Method: DFT, PBE
State: optimized geometry Values from VASP.

Properties
Space-group type: No. 115
Formation energy: -0.702 eV/atom

Cell and atoms, written as Quantum ESPRESSO input:
```
&SYSTEM
  ibrav = 0, nat = 10, ntyp = 4
/
ATOMIC_SPECIES
Pm 145.00 Pm.upf
Ge 72.64 Ge.upf
Pd 106.42 Pd.upf
Hg 200.59 Hg.upf
CELL_PARAMETERS angstrom
-1.148 -0.366 4.159
4.006 -1.310 0.991
2.892 10.117 1.689
ATOMIC_POSITIONS angstrom
Pm 0.133 2.290 2.492
Pm 4.188 6.988 1.772
Ge 1.446 5.058 0.845
Ge 1.963 8.693 3.562
Ge 2.357 0.585 0.702
Pd 3.012 2.874 1.085
Pd 1.429 -0.838 2.575
Pd 1.309 6.404 3.179
Pd 0.000 0.000 0.000
Hg 2.875 4.220 3.419
```



Record 3
Material: KIrSe2Br
Method: DFT, PBE
State: optimized geometry Values from VASP.

Properties
Raw formation energy: 1.63 eV per atom
Space-group type: No. 123

Cell and atoms, written as Quantum ESPRESSO input:
```
&SYSTEM
  ibrav = 0, nat = 5, ntyp = 4
/
ATOMIC_SPECIES
K 39.10 K.upf
Ir 192.22 Ir.upf
Se 78.96 Se.upf
Br 79.90 Br.upf
CELL_PARAMETERS angstrom
5.923 0.000 0.000
0.000 5.923 0.000
0.000 0.000 5.767
ATOMIC_POSITIONS angstrom
K 0.000 0.000 0.000
Ir 2.962 2.962 2.883
Se 0.000 2.962 0.000
Se 2.962 0.000 0.000
Br 0.000 0.000 2.883
```



Record 4
Material: HoZn6Au6
Method: DFT, PBE
State: optimized geometry Values from VASP.

Properties
Space-group type: No. 71
Formation energy: -0.357 eV/atom

Cell and atoms, written as Quantum ESPRESSO input:
```
&SYSTEM
  ibrav = 0, nat = 13, ntyp = 3
/
ATOMIC_SPECIES
Au 196.97 Au.upf
Zn 65.41 Zn.upf
Ho 164.93 Ho.upf
CELL_PARAMETERS angstrom
-4.602 0.710 2.451
-5.465 -1.161 -4.278
-2.443 -5.978 2.794
ATOMIC_POSITIONS angstrom
Au -9.640 -5.435 0.418
Au -4.456 -2.770 -1.916
Au -6.793 -4.494 -0.158
Au -3.452 -4.370 0.432
Au -2.869 -0.995 0.549
Au -5.716 -1.936 1.125
Zn -7.031 -1.978 -1.331
Zn -1.221 -2.989 1.397
Zn -3.522 -2.634 2.622
Zn -5.479 -4.451 2.298
Zn -2.733 -0.581 -2.139
Zn -5.034 -0.226 -0.913
Ho 0.000 0.000 0.000
```



Record 5
Material: CsAg2As
Method: DFT, PBE
State: optimized geometry Values from VASP.

Properties
Space-group type: No. 141
Formation energy: -0.179 eV/atom

Cell and atoms, written as Quantum ESPRESSO input:
```
&SYSTEM
  ibrav = 0, nat = 8, ntyp = 3
/
ATOMIC_SPECIES
Ag 107.87 Ag.upf
As 74.92 As.upf
Cs 132.91 Cs.upf
CELL_PARAMETERS angstrom
-1.431 -5.719 -1.371
5.871 -1.305 -0.684
2.682 -5.479 6.694
ATOMIC_POSITIONS angstrom
Ag 5.142 -7.069 4.079
Ag 3.804 -4.328 0.732
Ag 4.432 -9.930 3.393
Ag 0.867 -3.680 1.073
As 2.220 -3.512 -1.028
As 5.387 -5.148 2.491
Cs 0.000 0.000 0.000
Cs 1.736 -7.355 2.148
```



Record 6
Material: PmTmInCo
Method: DFT, PBE
State: optimized geometry Values from VASP.

Properties
Space-group type: No. 216
Formation energy: -0.165 eV/atom

Cell and atoms, written as Quantum ESPRESSO input:
```
&SYSTEM
  ibrav = 0, nat = 4, ntyp = 4
/
ATOMIC_SPECIES
Pm 145.00 Pm.upf
Co 58.93 Co.upf
Tm 168.93 Tm.upf
In 114.82 In.upf
CELL_PARAMETERS angstrom
-4.453 -2.124 1.380
-0.303 -2.738 4.320
-2.578 1.843 4.025
ATOMIC_POSITIONS angstrom
Pm -1.834 -0.755 2.431
Co -3.667 -1.509 4.862
Tm -5.501 -2.264 7.293
In 0.000 0.000 0.000
```



Q: Which formula does entry 4 have?
A: HoZn6Au6